A PBEsol-optimized structure of Rb2Sb4O11, computed with SCAN.

Geometry as POSCAR:
```
Rb2Sb4O11
1.0
-0.751 4.638 -5.526
-6.011 3.160 3.470
9.038 4.172 3.476
O Sb Rb
22 8 4
Direct
0.668 0.949 0.473 O
0.131 0.882 0.764 O
0.644 0.340 0.680 O
0.430 0.167 0.823 O
0.869 0.118 0.236 O
0.570 0.344 0.177 O
0.570 0.833 0.177 O
0.189 0.328 0.258 O
0.511 0.167 0.334 O
0.000 0.172 0.000 O
0.811 0.672 0.742 O
0.430 0.656 0.823 O
0.332 0.051 0.527 O
0.811 0.070 0.742 O
0.346 0.024 0.047 O
0.189 0.930 0.258 O
0.332 0.475 0.527 O
0.356 0.660 0.320 O
0.000 0.828 0.000 O
0.489 0.833 0.666 O
0.654 0.976 0.953 O
0.668 0.525 0.473 O
0.563 0.568 0.651 Sb
0.901 0.928 0.857 Sb
0.383 0.924 0.848 Sb
0.099 0.072 0.143 Sb
0.563 0.083 0.651 Sb
0.617 0.076 0.152 Sb
0.437 0.432 0.349 Sb
0.437 0.917 0.349 Sb
0.992 0.263 0.527 Rb
0.743 0.490 0.980 Rb
0.257 0.510 0.020 Rb
0.008 0.737 0.473 Rb
```

Values from the calculation:
formation energy (no corrections) = -1.68 eV per atom
space group = C2/m (12)
crystal system = monoclinic